(w)
The following is a PBE calculation of a geometry-optimized KTiB structure, from the Alexandria database.

a b c (Å): 5.4445 5.4445 8.3094
angles (deg): 90.00 90.00 120.00
Closest atoms and distances in Å follow each position.
Space group P6_3/mmc (No. 194)
Unique sites:
K 0.3333 0.6667 0.2500 [2 per cell]  3 B 3.14
Ti 0.0000 0.0000 0.0000 [2 per cell]  2 B 2.08
B 0.0000 0.0000 0.2500 [2 per cell]  2 Ti 2.08

Results
- ρ (g cm⁻³) = 1.5

***

(x)
The following is a PBE calculation of a geometry-optimized KTiB structure, from the Alexandria database.

a b c (Å): 6.2491 6.2491 6.2491
angles (deg): 90.00 90.00 90.00
Closest atoms and distances in Å follow each position.
Space group F-43m (No. 216)
Unique sites:
K 0.0000 0.0000 0.0000 [4 per cell]  4 B 2.71
Ti 0.0000 0.0000 0.5000 [4 per cell]  4 B 2.71
B 0.2500 0.2500 0.2500 [4 per cell]  4 K 2.71, 4 Ti 2.71

Results
- ρ (g cm⁻³) = 2.7

***

(y)
The following is a PBE calculation of a geometry-optimized KTiB structure, from the Alexandria database.

a b c (Å): 4.7150 4.7150 5.0795
angles (deg): 90.00 90.00 120.00
Closest atoms and distances in Å follow each position.
Space group P6_3mc (No. 186)
Unique sites:
K 0.0000 0.0000 0.0000 [2 per cell]  2 K 2.54
Ti 0.3333 0.6667 0.3346 [2 per cell]  1 B 2.38
B 0.3333 0.6667 0.8035 [2 per cell]  1 Ti 2.38

Results
- ρ (g cm⁻³) = 3.3

***

(z)
The following is a PBE calculation of a geometry-optimized KTiB structure, from the Alexandria database.

a b c (Å): 3.6333 3.6333 12.3300
angles (deg): 90.00 90.00 120.00
Closest atoms and distances in Å follow each position.
Space group P-6m2 (No. 187)
Unique sites:
K 0.0000 0.0000 0.0000 [1 per cell]  6 B 3.29, 6 K 3.63
K 0.0000 0.0000 0.5000 [1 per cell]  6 K 3.63, 6 Ti 3.75
Ti 0.3333 0.6667 0.2484 [2 per cell]  3 B 2.16
B 0.6667 0.3333 0.2056 [2 per cell]  3 Ti 2.16

Results
- ρ (g cm⁻³) = 2.3

***

It is (z) that is most stable; the runner-up trails by 38.5 kJ/mol of atoms.

***

(w)
The following is a PBE calculation of a geometry-optimized KTiB structure, from the Alexandria database.

a b c (Å): 6.7618 5.1619 10.7187
angles (deg): 90.00 97.16 90.00
Closest atoms and distances in Å follow each position.
Space group Cm (No. 8)
Unique sites:
K 0.0000 0.0000 0.0000 [2 per cell]  1 Ti 3.22, 4 B 3.35-3.40
K 0.0592 0.5000 0.4108 [2 per cell]  2 Ti 3.69, 2 B 3.81
Ti 0.3395 0.0000 0.7087 [2 per cell]  4 B 2.23-2.30
Ti 0.4236 0.5000 0.6973 [2 per cell]  4 B 2.25-2.34
B 0.1437 0.3377 0.7599 [4 per cell]  1 B 1.68

Results
- ρ (g cm⁻³) = 1.7

***

(x)
The following is a PBE calculation of a geometry-optimized KTiB structure, from the Alexandria database.

a b c (Å): 5.7979 5.7958 10.9738
angles (deg): 90.00 104.39 90.00
Closest atoms and distances in Å follow each position.
Space group C2/m (No. 12)
Unique sites:
K 0.1321 0.0000 0.2811 [4 per cell]  4 B 3.57-3.58, 4 Ti 3.62
Ti 0.2500 0.2500 0.0000 [4 per cell]  4 B 2.24
B 0.0398 0.5000 0.0844 [4 per cell]  1 B 1.79

Results
- ρ (g cm⁻³) = 1.8

***

It is (w) that is most stable; the runner-up trails by 4.7 kJ/mol of atoms.